## La2TbNd4Er (PBE)

Data for La2TbNd4Er after structural relaxation.

Output
E_form = 0.023 eV/atom
size of the total moment = 0.000 μB/atom

CIF file:
```
data_La2TbNd4Er
_cell_length_a 5.155
_cell_length_b 5.181
_cell_length_c 10.404
_cell_angle_alpha 90.00
_cell_angle_beta 90.11
_cell_angle_gamma 90.00
_space_group_name_H-M_alt 'P 1 2/m 1'
_space_group_IT_number 10
loop_
_space_group_symop_operation_xyz
'x,y,z'
'-x,-y,-z'
'-x,y,-z'
'x,-y,z'
loop_
_atom_site_label
_atom_site_type_symbol
_atom_site_fract_x
_atom_site_fract_y
_atom_site_fract_z
La1 La 0.000 0.000 0.000
La2 La 0.500 0.500 0.500
Tb1 Tb 0.000 0.000 0.500
Nd1 Nd 0.001 0.500 0.751
Nd2 Nd 0.500 0.000 0.250
Er1 Er 0.500 0.500 0.000
```